Entry from Alexandria: a geometry-optimized Lu2PtPb structure (PBE).

Cell and atoms, written as POSCAR:
```
Lu2PtPb
1.0
3.4541 0.0000 0.0000
0.0000 3.4541 0.0000
0.0000 0.0000 8.0530
Pb Lu Pt
1 2 1
Cartesian
1.7271 1.7271 4.0265 Pb
0.0000 0.0000 1.6465 Lu
0.0000 0.0000 6.4064 Lu
1.7271 1.7271 0.0000 Pt
```

Calculated values
Raw total energy in eV/atom: -5.552
Fermi-level density of states in states/eV/cell: 2.0
SG: No. 123



Entry from Alexandria: a geometry-optimized Ca3CdAg structure (PBE).

Cell and atoms, written as POSCAR:
```
Ca3CdAg
1.0
-3.2003 1.0134 -7.7704
3.6118 -7.3168 -2.4418
-5.3159 -4.6849 6.1748
Ca Ag Cd
12 4 4
Cartesian
-4.1861 -3.8319 -1.0295 Ca
-0.7183 -7.1564 -3.0079 Ca
-3.8411 -10.9281 -1.7590 Ca
-2.3166 -4.8842 2.6737 Ca
-3.5835 -8.9664 -4.7876 Ca
-2.5878 -6.1041 -6.7110 Ca
-1.0730 -2.7755 -7.2388 Ca
-1.3210 -2.0218 0.7502 Ca
-1.0633 -0.0602 -2.2784 Ca
-2.9737 -7.4669 -0.2328 Ca
-1.9308 -3.5214 -3.8045 Ca
-3.8315 -8.2127 3.2015 Ca
-6.9667 -4.7649 -2.3644 Ag
2.0623 -6.2234 -1.6730 Ag
-5.1015 -5.8084 1.3416 Ag
0.1971 -5.1798 -5.3790 Ag
-0.8663 -9.8519 -0.4526 Cd
-4.0252 -6.1876 -3.2840 Cd
-4.0382 -1.1364 -3.5848 Cd
-0.8793 -4.8006 -0.7533 Cd
```

Calculated values
Raw total energy in eV/atom: -2.204
Fermi-level density of states in states/eV/cell: 14.5
ΔE to the lowest computed polymorph in meV per atom: 0
SG: No. 14



Entry from Alexandria: a geometry-optimized Th6Mn2In structure (PBE).

Cell and atoms, written as POSCAR:
```
Th6Mn2In
1.0
8.0930 0.1355 -3.0040
-4.5483 7.0977 -1.8751
-0.3559 -0.1355 8.6253
In Th Mn
2 12 4
Cartesian
0.0000 0.0000 0.0000 In
5.6409 3.6166 0.3711 In
5.3796 0.1858 0.7311 Th
2.8035 5.4075 0.9546 Th
-0.7894 1.9877 6.1248 Th
2.5122 2.1231 -0.3603 Th
0.3853 1.6902 2.7917 Th
-2.1907 6.9119 3.0150 Th
3.9782 5.1100 -2.3785 Th
-2.1299 5.2723 6.2537 Th
5.3188 1.8254 -2.5075 Th
-0.5131 4.5296 0.7058 Th
0.6767 4.9746 4.1064 Th
3.7020 2.5681 3.0404 Th
0.5190 7.0974 1.8066 Mn
2.6699 0.0003 1.9396 Mn
1.9954 2.6588 5.3892 Mn
1.1934 4.4389 -1.6430 Mn
```

Calculated values
Raw total energy in eV/atom: -7.283
Fermi-level density of states in states/eV/cell: 23.4
SG: No. 71



Entry from Alexandria: a geometry-optimized LiNiSb2Rh structure (PBE).

Cell and atoms, written as POSCAR:
```
LiNiSb2Rh
1.0
-3.4351 -0.1577 3.7058
3.3079 -2.4154 2.9634
1.5867 4.1965 1.6494
Rh Sb Li Ni
1 2 1 1
Cartesian
0.0000 0.0000 0.0000 Rh
1.6539 -1.2077 1.4817 Sb
-1.7175 -0.0789 1.8529 Sb
0.7298 0.8117 4.1593 Li
0.7934 2.0983 0.8247 Ni
```

Calculated values
Raw total energy in eV/atom: -4.325
Raw formation energy in eV/atom: 0.333
Fermi-level density of states in states/eV/cell: 4.8
SG: No. 123



> What is the raw total energy in the first record?

-5.552 eV/atom